Ni2C: relaxed, PBE.

## Properties
Its formation energy is 96 kJ/mol of formula units. As for the distance to the lowest polymorph of the same formula: 0.152 eV per atom. The calculation puts the size of the total moment at 0.00 μB per formula unit.

Geometry as POSCAR:
```
Ni2C
1.0
2.989 0.000 0.000
0.000 1.307 3.491
0.000 -1.307 3.491
Ni C
2 1
direct
0.000 0.000 0.000
0.500 0.272 0.272
0.500 0.561 0.561
```

NiC3: relaxed, PBE.

## Properties
Its formation energy is 499 kJ/mol of formula units. As for the distance to the lowest polymorph of the same formula: 0.642 eV per atom. The calculation puts the size of the total moment at 0.00 μB per formula unit.

Geometry as POSCAR:
```
NiC3
1.0
1.724 -3.869 0.000
1.724 3.869 0.000
0.000 0.000 6.252
Ni C
2 6
direct
0.016 0.984 0.750
0.984 0.016 0.250
0.116 0.487 0.750
0.309 0.691 0.250
0.487 0.116 0.250
0.513 0.884 0.750
0.691 0.309 0.750
0.884 0.513 0.250
```

Ni2C: relaxed, PBE.

## Properties
Its formation energy is 131 kJ/mol of formula units. As for the distance to the lowest polymorph of the same formula: 0.274 eV per atom. The calculation puts the size of the total moment at 0.00 μB per formula unit.

Geometry as POSCAR:
```
Ni2C
1.0
1.310 -8.232 0.000
1.310 8.232 0.000
0.000 0.000 2.645
Ni C
4 2
direct
0.069 0.931 0.750
0.195 0.805 0.250
0.805 0.195 0.750
0.931 0.069 0.250
0.388 0.612 0.750
0.612 0.388 0.250
```

Ni2C: relaxed, PBE.

## Properties
Its formation energy is 104 kJ/mol of formula units. As for the distance to the lowest polymorph of the same formula: 0.182 eV per atom. The calculation puts the size of the total moment at 0.00 μB per formula unit.

Geometry as POSCAR:
```
Ni2C
1.0
0.000 2.397 2.397
2.397 0.000 2.397
2.397 2.397 0.000
Ni C
2 1
direct
0.250 0.250 0.250
0.750 0.750 0.750
0.000 0.000 0.000
```

Ni2C: relaxed, PBE.

## Properties
Its formation energy is 113 kJ/mol of formula units. As for the distance to the lowest polymorph of the same formula: 0.210 eV per atom. The calculation puts the size of the total moment at 0.00 μB per formula unit.

Geometry as POSCAR:
```
Ni2C
1.0
3.299 0.000 0.000
0.000 3.299 0.000
0.000 0.000 4.985
Ni C
4 2
direct
0.250 0.250 0.100
0.250 0.750 0.500
0.750 0.250 0.500
0.750 0.750 0.900
0.250 0.250 0.731
0.750 0.750 0.269
```

Ni2C: relaxed, PBE.

## Properties
Its formation energy is 109 kJ/mol of formula units. As for the distance to the lowest polymorph of the same formula: 0.199 eV per atom. The calculation puts the size of the total moment at 0.00 μB per formula unit.

Geometry as POSCAR:
```
Ni2C
1.0
2.787 0.000 0.000
0.000 2.787 0.000
0.000 0.000 3.702
Ni C
2 1
direct
0.000 0.000 0.000
0.500 0.500 0.500
0.000 0.000 0.500
```